# 1
The following is a PBE-GGA calculation of an optimized crystal structure of CsRb2, from Alexandria via LeMat-Bulk.

## Properties
V in Å³/f.u.: 299
Energy relative to the elements in kJ/mol of atoms: 0.5
Theoretical density in kg/m³: 1686

The structure in extended XYZ format:
```
6
Lattice="9.4589 0.0000 0.0000 4.7294 8.1916 0.0000 4.7294 2.7305 7.7232" Properties=species:S:1:pos:R:3 pbc="T T T"
Rb 9.4589 5.4611 0.9654
Rb 9.4589 2.7305 4.8270
Cs 0.0000 0.0000 0.0000
Rb 7.0942 6.8264 4.8270
Rb 11.8236 6.8264 4.8270
Cs 4.7294 2.7305 1.9308
```

***

# 2
The following is a PBE-GGA calculation of an optimized crystal structure of Cs3Rb8, from Alexandria via LeMat-Bulk.

## Properties
V in Å³/f.u.: 1050
Energy relative to the elements in kJ/mol of atoms: 0.3
Theoretical density in kg/m³: 1712

The structure in extended XYZ format:
```
11
Lattice="-5.6994 -1.6378 -4.4545 -1.3261 -1.9869 8.6017 -4.3967 17.4097 -0.7756" Properties=species:S:1:pos:R:3 pbc="T T T"
Rb -6.2885 14.3157 2.7826
Rb -6.8158 13.1904 -2.3036
Cs 0.0000 0.0000 0.0000
Rb -6.0010 6.3010 -0.8130
Rb -8.6856 10.0773 1.2334
Rb -5.1337 -0.5307 0.5891
Cs -7.8505 3.1579 2.7089
Rb -2.7366 3.7078 2.1382
Rb -4.6065 0.5946 5.6752
Rb -5.4212 7.4840 4.1846
Cs -3.5718 10.6271 0.6627
```

***

# 3
The following is a PBE-GGA calculation of an optimized crystal structure of Cs4Rb, from Alexandria via LeMat-Bulk.

## Properties
V in Å³/f.u.: 665
Energy relative to the elements in kJ/mol of atoms: 12.5
Theoretical density in kg/m³: 1542
Offset from the most stable computed form in eV per atom: 0.119

The structure in extended XYZ format:
```
5
Lattice="8.7269 0.0000 0.0000 0.0000 8.7269 0.0000 0.0000 0.0000 8.7269" Properties=species:S:1:pos:R:3 pbc="T T T"
Cs 4.3635 4.3635 0.0000
Rb 4.3635 4.3635 4.3635
Cs 4.3635 0.0000 4.3635
Cs 0.0000 0.0000 0.0000
Cs 0.0000 4.3635 4.3635
```